[1]
# PrAuBr

PrAuBr after structural relaxation (PBE, the Alexandria database).

Calculated values
ΔE to the lowest computed polymorph   0.00 eV/f.u.
Electronic total energy   -4.42 eV per atom
Symmetry   C2/m (12)
Formation energy (no corrections)   -1.18 eV per atom

The structure in extended XYZ format:
```
6
Lattice="4.725 -0.006 -0.031 2.355 4.096 -0.031 0.300 0.173 10.252" Properties=species:S:1:pos:R:3 pbc="T T T"
Pr 7.231 4.177 6.798
Pr 0.150 0.086 3.391
Au 4.873 2.815 5.120
Au 2.508 1.449 5.069
Br 4.853 2.803 1.708
Br 2.528 1.460 8.482
```

[2]
# PrAuBr

PrAuBr after structural relaxation (PBE, the Alexandria database).

Calculated values
ΔE to the lowest computed polymorph   0.06 eV/f.u.
Electronic total energy   -4.40 eV per atom
Symmetry   R-3m (166)
Formation energy (no corrections)   -1.16 eV per atom

The structure in extended XYZ format:
```
6
Lattice="-2.712 -3.275 -1.018 -1.394 -2.733 3.115 -10.541 4.970 2.711" Properties=species:S:1:pos:R:3 pbc="T T T"
Pr -5.525 -1.886 2.009
Pr -9.123 0.849 2.799
Br -2.770 -0.938 1.006
Br -11.878 -0.100 3.802
Au -8.195 -2.900 2.994
Au -6.453 1.862 1.814
```

[3]
# Pr4AuBr5

Pr4AuBr5 after structural relaxation (PBE, the Alexandria database).

Calculated values
Electronic total energy   -4.50 eV per atom
Symmetry   C2/m (12)
Formation energy (no corrections)   -1.43 eV per atom

The structure in extended XYZ format:
```
10
Lattice="4.177 0.000 0.000 0.000 8.975 0.150 -2.089 -2.218 9.184" Properties=species:S:1:pos:R:3 pbc="T T T"
Pr 2.089 -0.045 2.961
Pr 0.000 2.070 0.099
Pr 0.000 6.801 6.373
Pr 2.089 4.687 9.235
Au 2.089 0.000 0.000
Br 0.000 2.159 3.155
Br 0.000 6.657 3.222
Br 2.089 0.100 6.112
Br 2.089 4.487 0.075
Br 2.089 4.598 6.179
```

[4]
# Pr2AuBr

Pr2AuBr after structural relaxation (PBE, the Alexandria database).

Calculated values
ΔE to the lowest computed polymorph   0.12 eV/f.u.
Electronic total energy   -4.57 eV per atom
Symmetry   R3m (160)
Formation energy (no corrections)   -0.94 eV per atom

The structure in extended XYZ format:
```
4
Lattice="-2.388 -0.321 -3.447 -4.174 -0.376 0.361 -2.930 7.785 -1.262" Properties=species:S:1:pos:R:3 pbc="T T T"
Pr -2.768 6.040 -1.211
Pr -2.348 1.506 -1.079
Au -7.302 7.296 -3.319
Br -4.749 3.575 -2.175
```

[5]
# Pr2AuBr

Pr2AuBr after structural relaxation (PBE, the Alexandria database).

Calculated values
ΔE to the lowest computed polymorph   0.35 eV/f.u.
Electronic total energy   -4.51 eV per atom
Symmetry   P4/mmm (123)
Formation energy (no corrections)   -0.88 eV per atom

The structure in extended XYZ format:
```
4
Lattice="3.589 0.000 0.000 0.000 3.589 0.000 0.000 0.000 8.437" Properties=species:S:1:pos:R:3 pbc="T T T"
Pr 0.000 0.000 6.514
Pr 0.000 0.000 1.924
Au 1.795 1.795 0.000
Br 1.795 1.795 4.219
```

[6]
# PrAuBr4

PrAuBr4 after structural relaxation (PBE, the Alexandria database).

Calculated values
Electronic total energy   -3.70 eV per atom
Symmetry   C2/c (15)
Formation energy (no corrections)   -1.24 eV per atom

The structure in extended XYZ format:
```
12
Lattice="7.472 -0.237 -1.670 -3.128 6.543 -1.672 -0.063 0.147 10.642" Properties=species:S:1:pos:R:3 pbc="T T T"
Pr 5.848 0.204 -0.214
Pr -1.567 6.249 7.514
Au 1.000 4.301 1.707
Au 3.281 2.152 5.593
Br 1.697 0.461 6.328
Br -2.369 5.274 -0.459
Br -0.481 2.771 2.878
Br 0.939 4.732 7.795
Br 2.584 5.993 0.972
Br 4.763 3.683 4.422
Br 6.650 1.179 7.759
Br 3.342 1.722 -0.495
```

What did we get for M_tot? Answer: 0.0 0.0 0.0 0.0 0.0 0.0 μB per cell, in the order shown.